A relaxed TlInSi3 crystal, computed with PBE.

Cell: 5.2091 5.2091 5.2091 Å, 90.00 90.00 90.00°
Element x y z (fractional)
Tl (0.0000, 0.0000, 0.0000)
In (0.5000, 0.5000, 0.5000)
Si (0.0000, 0.5000, 0.5000)
Si (0.5000, 0.0000, 0.5000)
Si (0.5000, 0.5000, 0.0000)

Output
symmetry: Pm-3m (221)
volume: 28.27 A^3/atom
D(E_F): 0.939 states/eV/atom
energy relative to the elements, uncorrected: 1.1469 eV per atom

=====

A relaxed Tl4InSi crystal, computed with PBE.

Cell: 6.3642 6.3642 6.3642 Å, 60.00 60.00 60.00°
Element x y z (fractional)
Tl (0.1254, 0.1254, 0.1254)
Tl (0.1254, 0.1254, 0.6237)
Tl (0.1254, 0.6237, 0.1254)
Tl (0.6237, 0.1254, 0.1254)
In (0.7500, 0.7500, 0.7500)
Si (0.5000, 0.5000, 0.5000)

Output
symmetry: F-43m (216)
volume: 30.38 A^3/atom
D(E_F): 0.322 states/eV/atom
energy relative to the elements, uncorrected: 0.4379 eV per atom

=====

A relaxed Tl2InSi crystal, computed with PBE.

Cell: 4.4893 4.4893 10.4262 Å, 90.00 90.00 90.00°
Element x y z (fractional)
Tl (0.0000, 0.5000, 0.2500)
Tl (0.0000, 0.5000, 0.7500)
Tl (0.5000, 0.0000, 0.2500)
Tl (0.5000, 0.0000, 0.7500)
In (0.0000, 0.0000, 0.0000)
In (0.5000, 0.5000, 0.5000)
Si (0.0000, 0.0000, 0.5000)
Si (0.5000, 0.5000, 0.0000)

Output
symmetry: I4/mmm (139)
volume: 26.27 A^3/atom
D(E_F): 0.413 states/eV/atom
energy relative to the elements, uncorrected: 0.3485 eV per atom

=====

A relaxed TlIn2Si2 crystal, computed with PBE.

Cell: 4.9306 4.9306 10.1224 Å, 90.00 90.00 90.00°
Element x y z (fractional)
Tl (0.0000, 0.0000, 0.0000)
Tl (0.5000, 0.5000, 0.5000)
In (0.0000, 0.5000, 0.2500)
In (0.0000, 0.5000, 0.7500)
In (0.5000, 0.0000, 0.2500)
In (0.5000, 0.0000, 0.7500)
Si (0.0000, 0.0000, 0.3831)
Si (0.0000, 0.0000, 0.6169)
Si (0.5000, 0.5000, 0.1169)
Si (0.5000, 0.5000, 0.8831)

Output
symmetry: I4/mmm (139)
volume: 24.61 A^3/atom
D(E_F): 0.424 states/eV/atom
energy relative to the elements, uncorrected: 0.2244 eV per atom

=====

A relaxed TlIn2Si crystal, computed with PBE.

Cell: 8.3231 8.3231 6.0443 Å, 90.00 90.00 90.00°
Element x y z (fractional)
Tl (0.0000, 0.0000, 0.0000)
Tl (0.0000, 0.5000, 0.2500)
Tl (0.5000, 0.0000, 0.7500)
Tl (0.5000, 0.5000, 0.5000)
In (0.1940, 0.7500, 0.6250)
In (0.2500, 0.1940, 0.3750)
In (0.2500, 0.3060, 0.8750)
In (0.3060, 0.7500, 0.1250)
In (0.6940, 0.2500, 0.1250)
In (0.7500, 0.6940, 0.8750)
In (0.7500, 0.8060, 0.3750)
In (0.8060, 0.2500, 0.6250)
Si (0.0000, 0.0000, 0.5000)
Si (0.0000, 0.5000, 0.7500)
Si (0.5000, 0.0000, 0.2500)
Si (0.5000, 0.5000, 0.0000)

Output
symmetry: I-42d (122)
volume: 26.17 A^3/atom
D(E_F): 0.664 states/eV/atom
energy relative to the elements, uncorrected: 0.2364 eV per atom

=====

A relaxed TlInSi2 crystal, computed with PBE.

Cell: 7.0765 7.0765 7.0765 Å, 90.00 90.00 90.00°
Element x y z (fractional)
Tl (0.0000, 0.0000, 0.0000)
Tl (0.0000, 0.5000, 0.5000)
Tl (0.5000, 0.0000, 0.5000)
Tl (0.5000, 0.5000, 0.0000)
In (0.2500, 0.2500, 0.7500)
In (0.2500, 0.7500, 0.2500)
In (0.7500, 0.2500, 0.2500)
In (0.7500, 0.7500, 0.7500)
Si (0.0000, 0.0000, 0.5000)
Si (0.0000, 0.5000, 0.0000)
Si (0.2500, 0.2500, 0.2500)
Si (0.2500, 0.7500, 0.7500)
Si (0.5000, 0.0000, 0.0000)
Si (0.5000, 0.5000, 0.5000)
Si (0.7500, 0.2500, 0.7500)
Si (0.7500, 0.7500, 0.2500)

Output
symmetry: F-43m (216)
volume: 22.15 A^3/atom
D(E_F): 0.900 states/eV/atom
energy relative to the elements, uncorrected: 0.6226 eV per atom

=====

A relaxed Tl2InSi crystal, computed with PBE.

Cell: 4.3186 4.9617 9.9383 Å, 90.00 90.00 90.00°
Element x y z (fractional)
Tl (0.0000, 0.0000, 0.0000)
Tl (0.0000, 0.5000, 0.3073)
Tl (0.5000, 0.0000, 0.3073)
Tl (0.5000, 0.5000, 0.0000)
In (0.0000, 0.5000, 0.7282)
In (0.5000, 0.0000, 0.7282)
Si (0.0000, 0.0000, 0.5324)
Si (0.5000, 0.5000, 0.5324)

Output
symmetry: Cmm2 (35)
volume: 26.62 A^3/atom
D(E_F): 0.426 states/eV/atom
energy relative to the elements, uncorrected: 0.2674 eV per atom

=====

A relaxed TlIn2Si crystal, computed with PBE.

Cell: 3.4364 3.4364 29.9891 Å, 90.00 90.00 120.00°
Element x y z (fractional)
Tl (0.0000, 0.0000, 0.0000)
Tl (0.3333, 0.6667, 0.6667)
Tl (0.6667, 0.3333, 0.3333)
In (0.0000, 0.0000, 0.2383)
In (0.0000, 0.0000, 0.7617)
In (0.3333, 0.6667, 0.4284)
In (0.3333, 0.6667, 0.9049)
In (0.6667, 0.3333, 0.0951)
In (0.6667, 0.3333, 0.5716)
Si (0.0000, 0.0000, 0.5000)
Si (0.3333, 0.6667, 0.1667)
Si (0.6667, 0.3333, 0.8333)

Output
symmetry: R-3m (166)
volume: 25.56 A^3/atom
D(E_F): 0.378 states/eV/atom
energy relative to the elements, uncorrected: 0.2626 eV per atom

=====

A relaxed Tl2InSi crystal, computed with PBE.

Cell: 3.3784 3.6669 8.5990 Å, 90.00 90.95 90.00°
Element x y z (fractional)
Tl (0.0000, 0.0000, 0.0000)
Tl (0.4889, 0.5000, 0.3146)
In (0.9900, 0.0000, 0.5868)
Si (0.4951, 0.5000, 0.7687)

Output
symmetry: Pm (6)
volume: 26.63 A^3/atom
D(E_F): 0.294 states/eV/atom
energy relative to the elements, uncorrected: 0.2472 eV per atom

=====

A relaxed TlInSi2 crystal, computed with PBE.

Cell: 7.1002 7.1002 7.1002 Å, 90.00 90.00 90.00°
Element x y z (fractional)
Tl (0.0000, 0.0000, 0.0000)
Tl (0.0000, 0.5000, 0.5000)
Tl (0.5000, 0.0000, 0.5000)
Tl (0.5000, 0.5000, 0.0000)
In (0.0000, 0.0000, 0.5000)
In (0.0000, 0.5000, 0.0000)
In (0.5000, 0.0000, 0.0000)
In (0.5000, 0.5000, 0.5000)
Si (0.2500, 0.2500, 0.2500)
Si (0.2500, 0.2500, 0.7500)
Si (0.2500, 0.7500, 0.2500)
Si (0.2500, 0.7500, 0.7500)
Si (0.7500, 0.2500, 0.2500)
Si (0.7500, 0.2500, 0.7500)
Si (0.7500, 0.7500, 0.2500)
Si (0.7500, 0.7500, 0.7500)

Output
symmetry: Fm-3m (225)
volume: 22.37 A^3/atom
D(E_F): 0.565 states/eV/atom
energy relative to the elements, uncorrected: 0.5893 eV per atom

=====

A relaxed TlIn2Si crystal, computed with PBE.

Cell: 3.8477 4.2246 12.9733 Å, 90.00 90.00 90.00°
Element x y z (fractional)
Tl (0.0000, 0.0000, 0.0000)
Tl (0.5000, 0.5000, 0.5000)
In (0.0000, 0.0000, 0.6220)
In (0.0000, 0.5000, 0.8101)
In (0.5000, 0.0000, 0.3101)
In (0.5000, 0.5000, 0.1220)
Si (0.0000, 0.5000, 0.2930)
Si (0.5000, 0.0000, 0.7930)

Output
symmetry: Imm2 (44)
volume: 26.36 A^3/atom
D(E_F): 0.519 states/eV/atom
energy relative to the elements, uncorrected: 0.2647 eV per atom

=====

A relaxed TlIn2Si crystal, computed with PBE.

Cell: 13.0606 3.1677 5.4327 Å, 90.00 113.90 90.00°
Element x y z (fractional)
Tl (0.0000, 0.0000, 0.0000)
Tl (0.5000, 0.5000, 0.0000)
In (0.2094, 0.0000, 0.7102)
In (0.2906, 0.5000, 0.2898)
In (0.7094, 0.5000, 0.7102)
In (0.7906, 0.0000, 0.2898)
Si (0.0000, 0.5000, 0.5000)
Si (0.5000, 0.0000, 0.5000)

Output
symmetry: C2/m (12)
volume: 25.69 A^3/atom
D(E_F): 0.418 states/eV/atom
energy relative to the elements, uncorrected: 0.2623 eV per atom